# 1
First-principles (PBE) data for a geometry-optimized SrC structure, as listed in Alexandria.

Summary:
Relative energy among the computed polymorphs in meV per atom: 1291

a b c (Å): 3.351 3.351 3.351
angles (deg): 90.00 90.00 90.00
Space group Pm-3m (No. 221)
One atom of each set of equivalent atoms:
Sr: 0.000 0.000 0.000 x1
C: 0.500 0.500 0.500 x1

=====

# 2
First-principles (PBE) data for a geometry-optimized SrC structure, as listed in Alexandria.

Summary:
Relative energy among the computed polymorphs in meV per atom: 1089

a b c (Å): 3.6001 3.6001 23.0924
angles (deg): 90.00 90.00 120.00
Space group R-3m (No. 166, hexagonal axes)
One atom of each set of equivalent atoms:
Sr: 0.0000 0.0000 0.0775 x6
C: 0.0000 0.0000 0.3331 x6

=====

# 3
First-principles (PBE) data for a geometry-optimized SrC2 structure, as listed in Alexandria.

a b c (Å): 6.803 6.803 6.803
angles (deg): 90.00 90.00 90.00
Space group Fd-3m (No. 227, origin choice 2)
One atom of each set of equivalent atoms:
Sr: 0.125 0.125 0.125 x8
C: 0.000 0.000 0.500 x16

=====

# 4
First-principles (PBE) data for a geometry-optimized SrC structure, as listed in Alexandria.

Summary:
Relative energy among the computed polymorphs in meV per atom: 0

a b c (Å): 7.700 4.027 7.250
angles (deg): 90.00 91.65 90.00
Space group C2/m (No. 12)
One atom of each set of equivalent atoms:
Sr: 0.138 0.000 0.230 x4
C: 0.068 0.500 0.950 x4

=====

# 5
First-principles (PBE) data for a geometry-optimized Sr2C structure, as listed in Alexandria.

Summary:
Relative energy among the computed polymorphs in meV per atom: 433

a b c (Å): 5.453 5.455 13.087
angles (deg): 90.00 90.00 90.00
Space group Pnma (No. 62)
One atom of each set of equivalent atoms:
Sr: 0.001 0.250 0.085 x4
Sr: 0.001 0.750 0.335 x4
C: 0.001 0.750 0.125 x4

=====

# 6
First-principles (PBE) data for a geometry-optimized SrC structure, as listed in Alexandria.

Summary:
Relative energy among the computed polymorphs in meV per atom: 133

a b c (Å): 7.463 7.560 7.949
angles (deg): 90.00 90.00 90.00
Space group P2_12_12_1 (No. 19)
One atom of each set of equivalent atoms:
Sr: 0.020 0.052 0.135 x4
Sr: 0.023 0.599 0.852 x4
C: 0.191 0.724 0.131 x4
C: 0.194 0.399 0.604 x4

=====

# 7
First-principles (PBE) data for a geometry-optimized Sr7C6 structure, as listed in Alexandria.

a b c (Å): 10.5079 10.5079 15.7852
angles (deg): 90.00 90.00 120.00
Space group R-3m (No. 166, hexagonal axes)
One atom of each set of equivalent atoms:
Sr: 0.0000 0.0000 0.0000 x3
Sr: 0.1112 0.2224 0.7322 x18
C: 0.0000 0.0000 0.1701 x6
C: 0.0000 0.0000 0.3781 x6
C: 0.0000 0.0000 0.4576 x6

=====

# 8
First-principles (PBE) data for a geometry-optimized Sr2C structure, as listed in Alexandria.

Summary:
Relative energy among the computed polymorphs in meV per atom: 512

a b c (Å): 11.0407 11.0407 6.8373
angles (deg): 90.00 90.00 120.00
Space group P6_3/mmc (No. 194)
One atom of each set of equivalent atoms:
Sr: 0.0000 0.0000 0.0000 x2
Sr: 0.1949 0.3897 0.2500 x6
C: 0.3333 0.6667 0.1573 x4

=====

# 9
First-principles (PBE) data for a geometry-optimized Sr4C3 structure, as listed in Alexandria.

Summary:
Relative energy among the computed polymorphs in meV per atom: 0

a b c (Å): 5.653 5.653 5.653
angles (deg): 90.00 90.00 90.00
Space group Pm-3m (No. 221)
One atom of each set of equivalent atoms:
Sr: 0.000 0.000 0.000 x1
Sr: 0.000 0.500 0.500 x3
C: 0.000 0.000 0.500 x3

=====

# 10
First-principles (PBE) data for a geometry-optimized Sr3C structure, as listed in Alexandria.

Summary:
Relative energy among the computed polymorphs in meV per atom: 6

a b c (Å): 7.711 20.779 3.734
angles (deg): 90.00 90.00 90.00
Space group Cmcm (No. 63)
One atom of each set of equivalent atoms:
Sr: 0.000 0.238 0.250 x4
Sr: 0.219 0.096 0.250 x8
C: 0.000 0.143 0.750 x4

=====

# 11
First-principles (PBE) data for a geometry-optimized SrC2 structure, as listed in Alexandria.

a b c (Å): 3.969 16.240 3.723
angles (deg): 90.00 90.00 90.00
Space group Cmmm (No. 65)
One atom of each set of equivalent atoms:
Sr: 0.000 0.112 0.000 x4
C: 0.000 0.000 0.500 x2
C: 0.000 0.457 0.500 x4
C: 0.000 0.500 0.000 x2

=====

# 12
First-principles (PBE) data for a geometry-optimized Sr2C structure, as listed in Alexandria.

Summary:
Relative energy among the computed polymorphs in meV per atom: 573

a b c (Å): 4.095 4.095 5.417
angles (deg): 90.00 90.00 90.00
Space group P4/mmm (No. 123)
One atom of each set of equivalent atoms:
Sr: 0.000 0.000 0.000 x1
Sr: 0.500 0.500 0.500 x1
C: 0.000 0.000 0.500 x1

=====

# 13
First-principles (PBE) data for a geometry-optimized SrC2 structure, as listed in Alexandria.

a b c (Å): 7.0960 7.0960 6.0313
angles (deg): 90.00 90.00 120.00
Space group P-31m (No. 162)
One atom of each set of equivalent atoms:
Sr: 0.0000 0.0000 0.0000 x1
Sr: 0.3333 0.6667 0.5000 x2
C: 0.0000 0.3337 0.2582 x6

=====

# 14
First-principles (PBE) data for a geometry-optimized Sr5C structure, as listed in Alexandria.

Summary:
Relative energy among the computed polymorphs in meV per atom: 155

a b c (Å): 3.700 3.700 17.109
angles (deg): 90.00 90.00 90.00
Space group P4/mmm (No. 123)
One atom of each set of equivalent atoms:
Sr: 0.000 0.000 0.000 x1
Sr: 0.000 0.000 0.411 x2
Sr: 0.500 0.500 0.200 x2
C: 0.500 0.500 0.500 x1

=====

# 15
First-principles (PBE) data for a geometry-optimized SrC2 structure, as listed in Alexandria.

a b c (Å): 2.8750 2.8750 4.4852
angles (deg): 90.00 90.00 120.00
Space group P6/mmm (No. 191)
One atom of each set of equivalent atoms:
Sr: 0.0000 0.0000 0.0000 x1
C: 0.3333 0.6667 0.5000 x2

=====

# 16
First-principles (PBE) data for a geometry-optimized Sr2C structure, as listed in Alexandria.

Summary:
Relative energy among the computed polymorphs in meV per atom: 410

a b c (Å): 4.1573 4.1573 20.0058
angles (deg): 90.00 90.00 120.00
Space group R-3m (No. 166, hexagonal axes)
One atom of each set of equivalent atoms:
Sr: 0.0000 0.0000 0.2328 x6
C: 0.0000 0.0000 0.5000 x3

=====

# 17
First-principles (PBE) data for a geometry-optimized Sr3C5 structure, as listed in Alexandria.

Summary:
Relative energy among the computed polymorphs in meV per atom: 1261

a b c (Å): 5.735 9.037 5.185
angles (deg): 90.00 90.00 90.00
Space group Cmmm (No. 65)
One atom of each set of equivalent atoms:
Sr: 0.000 0.000 0.000 x2
Sr: 0.000 0.323 0.500 x4
C: 0.000 0.500 0.000 x2
C: 0.110 0.000 0.500 x4
C: 0.250 0.250 0.000 x4

=====

# 18
First-principles (PBE) data for a geometry-optimized SrC structure, as listed in Alexandria.

Summary:
Relative energy among the computed polymorphs in meV per atom: 602

a b c (Å): 5.3304 5.3304 6.6378
angles (deg): 90.00 90.00 120.00
Space group P6_3/mmc (No. 194)
One atom of each set of equivalent atoms:
Sr: 0.0000 0.0000 0.2500 x2
Sr: 0.3333 0.6667 0.2500 x2
C: 0.3333 0.6667 0.6513 x4

=====

# 19
First-principles (PBE) data for a geometry-optimized Sr3C structure, as listed in Alexandria.

Summary:
Relative energy among the computed polymorphs in meV per atom: 890

a b c (Å): 7.247 14.943 7.216
angles (deg): 90.00 90.00 90.00
Space group Cmcm (No. 63)
One atom of each set of equivalent atoms:
Sr: 0.000 0.068 0.250 x4
Sr: 0.239 0.334 0.250 x8
C: 0.000 0.454 0.250 x4

=====

# 20
First-principles (PBE) data for a geometry-optimized Sr2C structure, as listed in Alexandria.

Summary:
Relative energy among the computed polymorphs in meV per atom: 417

a b c (Å): 4.1088 4.1088 7.0225
angles (deg): 90.00 90.00 120.00
Space group P-3m1 (No. 164)
One atom of each set of equivalent atoms:
Sr: 0.3333 0.6667 0.1935 x2
C: 0.0000 0.0000 0.0000 x1

=====

# 21
First-principles (PBE) data for a geometry-optimized Sr2C structure, as listed in Alexandria.

Summary:
Relative energy among the computed polymorphs in meV per atom: 571

a b c (Å): 3.8802 3.8802 15.0209
angles (deg): 90.00 90.00 120.00
Space group P6_3/mmc (No. 194)
One atom of each set of equivalent atoms:
Sr: 0.0000 0.0000 0.1454 x4
C: 0.3333 0.6667 0.2500 x2

=====

# 22
First-principles (PBE) data for a geometry-optimized SrC structure, as listed in Alexandria.

Summary:
Relative energy among the computed polymorphs in meV per atom: 1368

a b c (Å): 5.8306 5.8306 4.3663
angles (deg): 90.00 90.00 120.00
Space group P6/mmm (No. 191)
One atom of each set of equivalent atoms:
Sr: 0.0000 0.0000 0.0000 x1
Sr: 0.3333 0.6667 0.5000 x2
C: 0.0000 0.5000 0.0000 x3

=====

# 23
First-principles (PBE) data for a geometry-optimized SrC2 structure, as listed in Alexandria.

a b c (Å): 3.444 16.865 2.768
angles (deg): 90.00 90.00 90.00
Space group Cmcm (No. 63)
One atom of each set of equivalent atoms:
Sr: 0.000 0.122 0.250 x4
C: 0.000 0.262 0.750 x4
C: 0.000 0.486 0.250 x4

=====

# 24
First-principles (PBE) data for a geometry-optimized Sr3C structure, as listed in Alexandria.

Summary:
Relative energy among the computed polymorphs in meV per atom: 0

a b c (Å): 5.672 13.636 4.084
angles (deg): 90.00 90.00 90.00
Space group Cmmm (No. 65)
One atom of each set of equivalent atoms:
Sr: 0.000 0.000 0.000 x2
Sr: 0.000 0.370 0.500 x4
C: 0.000 0.500 0.000 x2

=====

# 25
First-principles (PBE) data for a geometry-optimized SrC structure, as listed in Alexandria.

Summary:
Relative energy among the computed polymorphs in meV per atom: 316

a b c (Å): 7.675 7.675 7.675
angles (deg): 90.00 90.00 90.00
Space group I-43m (No. 217)
One atom of each set of equivalent atoms:
Sr: 0.212 0.212 0.788 x8
C: 0.072 0.072 0.072 x8

=====

# 26
First-principles (PBE) data for a geometry-optimized Sr3C structure, as listed in Alexandria.

Summary:
Relative energy among the computed polymorphs in meV per atom: 397

a b c (Å): 4.847 4.847 6.696
angles (deg): 90.00 90.00 90.00
Space group P4mm (No. 99)
One atom of each set of equivalent atoms:
Sr: 0.000 0.000 0.000 x1
Sr: 0.000 0.500 0.447 x2
C: 0.500 0.500 0.275 x1

=====

How do the records compare in ΔH_f (0 K)? In the order shown, they have 1324 1122 2259 33 557 166 736 636 999 407 1612 698 3187 477 1109 535 1383 635 1292 542 696 1401 1419 401 349 799 meV/atom.